<P>
The following is a meta-GGA SCAN calculation of a PBEsol-optimized structure of Mg2AlBr, from Alexandria via LeMat-Bulk.

a b c (Å): 3.232 4.971 5.846
angles (deg): 90.80 106.05 90.00
Fractional positions:
Al 0.513 0.618 0.025
Br 0.751 0.127 0.503
Mg 0.990 0.117 0.979
Mg 0.247 0.638 0.493

**Total magnetic moment**: 0.00 μB per atom
**N(E_F)**: 1.07 states/eV per cell

<Q>
The following is a meta-GGA SCAN calculation of a PBEsol-optimized structure of Mg2AlBr, from Alexandria via LeMat-Bulk.

a b c (Å): 5.165 5.165 5.165
angles (deg): 60.00 60.00 60.00
Fractional positions:
Al 0.500 0.500 0.500
Mg 0.750 0.750 0.750
Mg 0.000 0.000 0.000
Br 0.250 0.250 0.250

**Total magnetic moment**: 0.00 μB per atom
**N(E_F)**: 1.68 states/eV per cell

<R>
The following is a meta-GGA SCAN calculation of a PBEsol-optimized structure of Mg2AlBr, from Alexandria via LeMat-Bulk.

a b c (Å): 3.600 3.600 8.219
angles (deg): 77.35 77.35 60.00
Fractional positions:
Mg 0.753 0.753 0.740
Mg 0.247 0.247 0.260
Al 0.500 0.500 0.500
Br 0.000 0.000 0.000

**Total magnetic moment**: 0.00 μB per atom
**N(E_F)**: 1.18 states/eV per cell

Quick one: most stable of them? <R>

<P>
The following is a meta-GGA SCAN calculation of a PBEsol-optimized structure of Mn2AlBr, from Alexandria via LeMat-Bulk.

a b c (Å): 3.021 4.263 5.060
angles (deg): 90.00 90.00 90.00
Each line ends with the local moment (μB).
Fractional positions:
Mn 0.000 0.000 0.000  3.53
Mn 0.500 0.000 0.500  3.88
Al 0.500 0.500 0.000  -0.10
Br 0.000 0.500 0.500  0.08

**Total magnetic moment**: 1.83 μB per atom
**N(E_F)**: 2.15 states/eV per cell

<Q>
The following is a meta-GGA SCAN calculation of a PBEsol-optimized structure of Mn2AlBr, from Alexandria via LeMat-Bulk.

a b c (Å): 4.155 4.575 4.155
angles (deg): 63.00 90.00 117.00
Each line ends with the local moment (μB).
Fractional positions:
Mn 0.250 0.500 0.250  3.42
Mn 0.750 0.500 0.750  3.42
Al 0.500 0.000 0.500  -0.11
Br 0.000 0.000 0.000  0.01

**Total magnetic moment**: 1.66 μB per atom
**N(E_F)**: 2.31 states/eV per cell

Quick one: most stable of them? <P>

<P>
The following is a meta-GGA SCAN calculation of a PBEsol-optimized structure of Mn2AlBr, from Alexandria via LeMat-Bulk.

a b c (Å): 3.074 3.209 6.858
angles (deg): 90.00 90.00 90.00
Each line ends with the local moment (μB).
Fractional positions:
Br 0.500 0.500 0.500  0.04
Al 0.500 0.000 0.000  -0.11
Mn 0.000 0.500 0.197  3.59
Mn 0.000 0.500 0.803  3.59

**Total magnetic moment**: 1.81 μB per atom
**N(E_F)**: 1.89 states/eV per cell

<Q>
The following is a meta-GGA SCAN calculation of a PBEsol-optimized structure of Mn2AlBr, from Alexandria via LeMat-Bulk.

a b c (Å): 4.426 4.426 4.426
angles (deg): 60.00 60.00 60.00
Each line ends with the local moment (μB).
Fractional positions:
Mn 0.750 0.750 0.750  3.31
Mn 0.250 0.250 0.250  3.31
Al 0.000 0.000 0.000  -0.20
Br 0.500 0.500 0.500  -0.10

**Total magnetic moment**: 1.50 μB per atom
**N(E_F)**: 4.25 states/eV per cell

Quick one: most stable of them? <P>

<P>
The following is a meta-GGA SCAN calculation of a PBEsol-optimized structure of AlMo2Br, from Alexandria via LeMat-Bulk.

a b c (Å): 2.956 2.956 8.596
angles (deg): 90.00 90.00 114.82
Fractional positions:
Br 0.500 0.500 0.249
Mo 0.500 0.500 0.756
Mo 0.000 0.000 0.982
Al 0.000 0.000 0.513

**Total magnetic moment**: 0.00 μB per atom
**N(E_F)**: 2.37 states/eV per cell

<Q>
The following is a meta-GGA SCAN calculation of a PBEsol-optimized structure of AlMo2Br, from Alexandria via LeMat-Bulk.

a b c (Å): 4.430 4.430 4.430
angles (deg): 60.00 60.00 60.00
Fractional positions:
Mo 0.250 0.250 0.250
Mo 0.750 0.750 0.750
Br 0.500 0.500 0.500
Al 0.000 0.000 0.000

**Total magnetic moment**: 0.00 μB per atom
**N(E_F)**: 3.92 states/eV per cell

Quick one: most stable of them? <P>

<P>
The following is a meta-GGA SCAN calculation of a PBEsol-optimized structure of Al2MoBr, from Alexandria via LeMat-Bulk.

a b c (Å): 4.553 4.553 4.553
angles (deg): 60.00 60.00 60.00
Each line ends with the local moment (μB).
Fractional positions:
Al 0.250 0.250 0.250  -0.03
Al 0.000 0.000 0.000  0.01
Br 0.500 0.500 0.500  0.00
Mo 0.750 0.750 0.750  1.48

**Total magnetic moment**: 0.39 μB per atom
**N(E_F)**: 3.76 states/eV per cell

<Q>
The following is a meta-GGA SCAN calculation of a PBEsol-optimized structure of Al2MoBr, from Alexandria via LeMat-Bulk.

a b c (Å): 4.043 4.043 5.032
angles (deg): 113.69 113.69 90.00
Each line ends with the local moment (μB).
Fractional positions:
Mo 0.250 0.750 0.500  1.25
Al 0.750 0.250 0.500  -0.02
Al 0.000 0.000 0.000  -0.01
Br 0.500 0.500 0.000  0.01

**Total magnetic moment**: 0.32 μB per atom
**N(E_F)**: 2.22 states/eV per cell

Quick one: most stable of them? <Q>

<P>
The following is a meta-GGA SCAN calculation of a PBEsol-optimized structure of AlBrN2, from Alexandria via LeMat-Bulk.

a b c (Å): 5.263 5.319 5.263
angles (deg): 60.35 90.00 119.65
Fractional positions:
Br 0.000 0.000 0.000
Br 0.750 0.500 0.750
Al 0.250 0.500 0.250
Al 0.500 0.000 0.500
N 0.375 0.250 0.196
N 0.554 0.750 0.375
N 0.875 0.250 0.554
N 0.196 0.750 0.875

**Total magnetic moment**: 0.00 μB per atom
**N(E_F)**: 0.74 states/eV per cell

<Q>
The following is a meta-GGA SCAN calculation of a PBEsol-optimized structure of AlBrN2, from Alexandria via LeMat-Bulk.

a b c (Å): 3.239 3.239 6.298
angles (deg): 75.10 75.10 60.00
Fractional positions:
N 0.896 0.896 0.313
N 0.104 0.104 0.687
Br 0.500 0.500 0.500
Al 0.000 0.000 0.000

**Total magnetic moment**: 0.00 μB per atom
**N(E_F)**: 1.00 states/eV per cell

Quick one: most stable of them? <P>

<P>
The following is a meta-GGA SCAN calculation of a PBEsol-optimized structure of AlNiBr2, from Alexandria via LeMat-Bulk.

a b c (Å): 3.494 3.549 8.008
angles (deg): 90.00 90.00 119.49
Each line ends with the local moment (μB).
Fractional positions:
Br 0.000 0.000 0.295  0.04
Br 0.000 0.000 0.705  0.04
Ni 0.500 0.000 0.500  1.02
Al 0.500 0.000 0.000  0.01

**Total magnetic moment**: 0.29 μB per atom
**N(E_F)**: 1.86 states/eV per cell

<Q>
The following is a meta-GGA SCAN calculation of a PBEsol-optimized structure of AlNiBr2, from Alexandria via LeMat-Bulk.

a b c (Å): 3.504 3.504 8.275
angles (deg): 77.78 77.78 60.00
Each line ends with the local moment (μB).
Fractional positions:
Br 0.773 0.773 0.681  0.12
Br 0.227 0.227 0.319  0.12
Al 0.000 0.000 0.000  -0.01
Ni 0.500 0.500 0.500  1.29

**Total magnetic moment**: 0.38 μB per atom
**N(E_F)**: 2.35 states/eV per cell

Quick one: most stable of them? <Q>

<P>
The following is a meta-GGA SCAN calculation of a PBEsol-optimized structure of AlNi2Br, from Alexandria via LeMat-Bulk.

a b c (Å): 2.945 3.173 6.388
angles (deg): 89.81 90.00 90.00
Fractional positions:
Br 0.500 0.500 0.000
Ni 0.000 0.501 0.310
Ni 0.000 0.499 0.690
Al 0.500 0.000 0.500

**Total magnetic moment**: 0.00 μB per atom
**N(E_F)**: 1.69 states/eV per cell

<Q>
The following is a meta-GGA SCAN calculation of a PBEsol-optimized structure of AlNi2Br, from Alexandria via LeMat-Bulk.

a b c (Å): 3.561 3.561 4.999
angles (deg): 110.87 110.87 90.00
Fractional positions:
Ni 0.750 0.250 0.500
Ni 0.000 0.000 0.000
Br 0.250 0.750 0.500
Al 0.500 0.500 0.000

**Total magnetic moment**: 0.00 μB per atom
**N(E_F)**: 1.18 states/eV per cell

<R>
The following is a meta-GGA SCAN calculation of a PBEsol-optimized structure of AlNi2Br, from Alexandria via LeMat-Bulk.

a b c (Å): 3.061 3.061 5.926
angles (deg): 90.00 90.00 90.00
Fractional positions:
Al 0.500 0.500 0.000
Ni 0.000 0.000 0.208
Ni 0.000 0.000 0.792
Br 0.500 0.500 0.500

**Total magnetic moment**: 0.00 μB per atom
**N(E_F)**: 0.51 states/eV per cell

Quick one: most stable of them? <P>

<P>
The following is a meta-GGA SCAN calculation of a PBEsol-optimized structure of AlOsBr2, from Alexandria via LeMat-Bulk.

a b c (Å): 4.617 4.617 4.617
angles (deg): 60.00 60.00 60.00
Each line ends with the local moment (μB).
Fractional positions:
Br 0.750 0.750 0.750  0.09
Br 0.250 0.250 0.250  0.09
Os 0.000 0.000 0.000  1.40
Al 0.500 0.500 0.500  -0.07

**Total magnetic moment**: 0.41 μB per atom
**N(E_F)**: 2.39 states/eV per cell

<Q>
The following is a meta-GGA SCAN calculation of a PBEsol-optimized structure of AlOsBr2, from Alexandria via LeMat-Bulk.

a b c (Å): 3.075 4.102 7.553
angles (deg): 105.76 101.74 90.00
Fractional positions:
Al 0.000 0.500 0.000
Br 0.850 0.850 0.700
Br 0.150 0.150 0.300
Os 0.500 0.000 0.000

**Total magnetic moment**: 0.00 μB per atom
**N(E_F)**: 1.06 states/eV per cell

Quick one: most stable of them? <Q>

<P>
The following is a meta-GGA SCAN calculation of a PBEsol-optimized structure of AlPBr2, from Alexandria via LeMat-Bulk.

a b c (Å): 4.939 4.939 4.939
angles (deg): 101.48 113.61 113.61
Fractional positions:
Br 0.500 0.000 0.500
Br 0.500 0.500 0.000
Al 0.000 0.500 0.500
P 0.000 0.000 0.000

**Total magnetic moment**: 0.00 μB per atom
**N(E_F)**: 1.45 states/eV per cell

<Q>
The following is a meta-GGA SCAN calculation of a PBEsol-optimized structure of AlPBr2, from Alexandria via LeMat-Bulk.

a b c (Å): 3.453 4.910 4.910
angles (deg): 90.00 90.00 90.00
Fractional positions:
Br 0.000 0.500 0.000
Br 0.000 0.000 0.500
Al 0.500 0.000 0.000
P 0.500 0.500 0.500

**Total magnetic moment**: 0.00 μB per atom
**N(E_F)**: 2.58 states/eV per cell

Quick one: most stable of them? <P>

<P>
The following is a meta-GGA SCAN calculation of a PBEsol-optimized structure of Al2ReBr, from Alexandria via LeMat-Bulk.

a b c (Å): 3.993 3.993 4.895
angles (deg): 114.07 114.07 90.00
Fractional positions:
Re 0.000 0.000 0.000
Al 0.250 0.750 0.500
Al 0.750 0.250 0.500
Br 0.500 0.500 0.000

**Total magnetic moment**: 0.00 μB per atom
**N(E_F)**: 2.59 states/eV per cell

<Q>
The following is a meta-GGA SCAN calculation of a PBEsol-optimized structure of Al2ReBr, from Alexandria via LeMat-Bulk.

a b c (Å): 3.022 3.022 7.569
angles (deg): 90.00 90.00 90.00
Fractional positions:
Al 0.000 0.000 0.972
Al 0.500 0.500 0.208
Br 0.000 0.000 0.547
Re 0.500 0.500 0.773

**Total magnetic moment**: 0.00 μB per atom
**N(E_F)**: 1.97 states/eV per cell

Quick one: most stable of them? <Q>

<P>
The following is a meta-GGA SCAN calculation of a PBEsol-optimized structure of ScAlBr2, from Alexandria via LeMat-Bulk.

a b c (Å): 8.790 6.886 8.790
angles (deg): 50.34 90.00 129.66
Fractional positions:
Br 0.738 0.750 0.375
Br 0.375 0.250 0.012
Br 0.875 0.250 0.738
Br 0.012 0.750 0.875
Sc 0.750 0.500 0.750
Sc 0.000 0.000 0.000
Al 0.250 0.500 0.250
Al 0.500 0.000 0.500

**Total magnetic moment**: 0.00 μB per atom
**N(E_F)**: 3.60 states/eV per cell

<Q>
The following is a meta-GGA SCAN calculation of a PBEsol-optimized structure of ScAlBr2, from Alexandria via LeMat-Bulk.

a b c (Å): 3.415 4.856 7.329
angles (deg): 109.35 103.47 90.00
Fractional positions:
Br 0.656 0.656 0.313
Br 0.344 0.344 0.687
Sc 0.000 0.500 0.000
Al 0.500 0.000 0.000

**Total magnetic moment**: 0.00 μB per atom
**N(E_F)**: 1.65 states/eV per cell

Quick one: most stable of them? <Q>